[1]
A plane-wave DFT calculation with PBE was carried out for BaLiP2Ru after structural relaxation.

Computed properties:
Calculated volume, Å³ per cell: 156.91
Space-group type: P4/mmm (123)
Size of the total moment, Bohr magnetons per cell: 3.07

abc: 5.510 5.168 5.510
angles: 90.00 90.00 90.00
Site moments in Bohr magnetons follow the coordinates.
Fractional coordinates of all 5 atoms:
Ru  0.500  0.500  0.500  2.60
Li  0.000  0.500  0.000  -0.02
Ba  0.000  0.000  0.000  0.05
P  0.000  0.000  0.500  0.10
P  0.500  0.000  0.000  0.04

[2]
A plane-wave DFT calculation with PBE was carried out for BaLi2PS after structural relaxation.

Computed properties:
Calculated volume, Å³ per cell: 241.12
Space-group type: P4/mmm (123)
Raw formation energy, eV per atom: 0.759
Size of the total moment, Bohr magnetons per cell: 1.16

abc: 6.591 5.551 6.591
angles: 90.00 90.00 90.00
Site moments in Bohr magnetons follow the coordinates.
Fractional coordinates of all 5 atoms:
P  0.500  0.500  0.500  0.77
S  0.000  0.500  0.000  0.09
Ba  0.000  0.000  0.000  -0.10
Li  0.000  0.000  0.500  -0.07
Li  0.500  0.000  0.000  -0.04

[3]
A plane-wave DFT calculation with PBE was carried out for Ba3LiP2S8 after structural relaxation.

Computed properties:
Calculated volume, Å³ per cell: 350.39
Space-group type: P-3m1 (164)
Raw formation energy, eV per atom: -1.161
Size of the total moment, Bohr magnetons per cell: 0.00

abc: 6.781 6.781 8.798
angles: 90.00 90.00 120.00
Fractional coordinates of all 14 atoms:
Ba  0.333  0.667  0.636
Ba  0.667  0.333  0.364
Ba  0.000  0.000  0.000
Li  0.000  0.000  0.500
P  0.333  0.667  0.218
P  0.667  0.333  0.782
S  0.333  0.667  0.988
S  0.667  0.333  0.012
S  0.166  0.834  0.306
S  0.834  0.166  0.694
S  0.166  0.332  0.306
S  0.834  0.668  0.694
S  0.668  0.834  0.306
S  0.332  0.166  0.694

[4]
A plane-wave DFT calculation with PBE was carried out for BaLiSnP2 after structural relaxation.

Computed properties:
Calculated volume, Å³ per cell: 270.30
Space-group type: C2/m (12)
Size of the total moment, Bohr magnetons per cell: 0.00

abc: 4.780 6.838 8.966
angles: 99.46 90.00 110.46
Fractional coordinates of all 10 atoms:
Ba  0.345  0.690  0.318
Ba  0.655  0.310  0.682
Li  0.667  0.334  0.060
Li  0.333  0.666  0.940
Sn  0.061  0.122  0.201
Sn  0.939  0.878  0.799
P  0.386  0.771  0.683
P  0.614  0.229  0.317
P  0.134  0.267  0.931
P  0.866  0.733  0.069

[5]
A plane-wave DFT calculation with PBE was carried out for Ba2LiSn2P4 after structural relaxation.

Computed properties:
Calculated volume, Å³ per cell: 234.78
Space-group type: Immm (71)
Size of the total moment, Bohr magnetons per cell: 0.00

abc: 4.889 8.534 6.378
angles: 111.92 90.00 106.64
Fractional coordinates of all 9 atoms:
Ba  0.862  0.724  0.362
Ba  0.138  0.276  0.638
Li  0.000  0.000  0.000
Sn  0.371  0.742  0.872
Sn  0.629  0.258  0.128
P  0.809  0.617  0.809
P  0.191  0.383  0.191
P  0.500  0.000  0.290
P  0.500  0.000  0.710

[6]
A plane-wave DFT calculation with PBE was carried out for Ba2LiSnP after structural relaxation.

Computed properties:
Calculated volume, Å³ per cell: 202.01
Space-group type: P4/mmm (123)
Size of the total moment, Bohr magnetons per cell: 0.00

abc: 6.236 5.194 6.236
angles: 90.00 90.00 90.00
Fractional coordinates of all 5 atoms:
P  0.000  0.000  0.000
Li  0.500  0.500  0.500
Ba  0.000  0.000  0.500
Ba  0.500  0.000  0.000
Sn  0.000  0.500  0.000

[7]
A plane-wave DFT calculation with PBE was carried out for BaLi2SnP after structural relaxation.

Computed properties:
Calculated volume, Å³ per cell: 152.67
Space-group type: P4/mmm (123)
Size of the total moment, Bohr magnetons per cell: 0.47

abc: 4.960 6.207 4.960
angles: 90.00 90.00 90.00
Site moments in Bohr magnetons follow the coordinates.
Fractional coordinates of all 5 atoms:
P  0.000  0.000  0.000  -0.01
Li  0.000  0.000  0.500  0.00
Li  0.500  0.000  0.000  0.00
Ba  0.000  0.500  0.000  0.04
Sn  0.500  0.500  0.500  0.16

[8]
A plane-wave DFT calculation with PBE was carried out for BaSrLi2P2 after structural relaxation.

Computed properties:
Calculated volume, Å³ per cell: 144.41
Space-group type: P-3m1 (164)
Size of the total moment, Bohr magnetons per cell: 0.00

abc: 4.464 4.464 8.367
angles: 90.00 90.00 120.00
Fractional coordinates of all 6 atoms:
Ba  0.000  0.000  0.000
Sr  0.000  0.000  0.500
Li  0.333  0.667  0.725
Li  0.667  0.333  0.275
P  0.333  0.667  0.265
P  0.667  0.333  0.735

[9]
A plane-wave DFT calculation with PBE was carried out for Ba2SrLiP after structural relaxation.

Computed properties:
Calculated volume, Å³ per cell: 268.09
Space-group type: P4/mmm (123)
Size of the total moment, Bohr magnetons per cell: 1.74
E above lowest polymorph, eV/atom: 0.827

abc: 6.987 5.492 6.987
angles: 90.00 90.00 90.00
Site moments in Bohr magnetons follow the coordinates.
Fractional coordinates of all 5 atoms:
Sr  0.000  0.000  0.000  0.16
Li  0.500  0.500  0.500  0.01
Ba  0.000  0.000  0.500  0.24
Ba  0.500  0.000  0.000  0.13
P  0.000  0.500  0.000  0.01

[10]
A plane-wave DFT calculation with PBE was carried out for Ba2SrLiP after structural relaxation.

Computed properties:
Calculated volume, Å³ per cell: 240.09
Space-group type: P4/mmm (123)
Size of the total moment, Bohr magnetons per cell: 0.11
E above lowest polymorph, eV/atom: 0.000

abc: 6.347 6.347 5.961
angles: 90.00 90.00 90.00
Fractional coordinates of all 5 atoms:
Sr  0.000  0.000  0.500
Li  0.500  0.500  0.500
Ba  0.000  0.500  0.000
Ba  0.500  0.000  0.000
P  0.000  0.000  0.000

[11]
A plane-wave DFT calculation with PBE was carried out for Ba2SrLi2P2 after structural relaxation.

Computed properties:
Calculated volume, Å³ per cell: 213.71
Space-group type: R-3m (166)
Size of the total moment, Bohr magnetons per cell: 0.24

abc: 4.427 4.427 12.848
angles: 80.08 80.08 60.00
Fractional coordinates of all 7 atoms:
Ba  0.112  0.112  0.664
Ba  0.888  0.888  0.336
Sr  0.000  0.000  0.000
Li  0.615  0.615  0.156
Li  0.385  0.385  0.844
P  0.720  0.720  0.841
P  0.280  0.280  0.159

[12]
A plane-wave DFT calculation with PBE was carried out for Ba2LiTeP after structural relaxation.

Computed properties:
Calculated volume, Å³ per cell: 182.06
Space-group type: P4/mmm (123)
Raw formation energy, eV per atom: -1.112
Size of the total moment, Bohr magnetons per cell: 0.00

abc: 6.228 6.228 4.694
angles: 90.00 90.00 90.00
Fractional coordinates of all 5 atoms:
P  0.000  0.000  0.000
Te  0.500  0.500  0.500
Ba  0.000  0.500  0.000
Ba  0.500  0.000  0.000
Li  0.000  0.000  0.500

[13]
A plane-wave DFT calculation with PBE was carried out for BaLiTlP after structural relaxation.

Computed properties:
Calculated volume, Å³ per cell: 233.78
Space-group type: P4/nmm (129)
Size of the total moment, Bohr magnetons per cell: 0.00

abc: 4.392 4.392 12.118
angles: 90.00 90.00 90.00
Fractional coordinates of all 8 atoms:
Ba  0.750  0.750  0.206
Ba  0.250  0.250  0.794
Li  0.750  0.250  0.000
Li  0.250  0.750  0.000
Tl  0.250  0.750  0.500
Tl  0.750  0.250  0.500
P  0.750  0.750  0.885
P  0.250  0.250  0.115

no.,final energy (eV per atom)
1,-2.978
2,-2.299
3,-4.841
4,-4.321
5,-4.480
6,-3.325
7,-3.319
8,-3.985
9,-2.165
10,-2.992
11,-3.654
12,-3.974
13,-3.481